A plane-wave DFT calculation with PBE was carried out for TiCrS3 after structural relaxation.

Cell: 4.675 4.675 4.675 Å, 90.00 90.00 90.00°
Fractional coordinates of all 5 atoms:
Cr: 0.500 0.500 0.500
Ti: 0.000 0.000 0.000
S: 0.000 0.500 0.000
S: 0.500 0.000 0.000
S: 0.000 0.000 0.500

Output
Uncorrected formation energy (eV/atom): -0.238
Space-group type: No. 221